Entry 1:
Density functional theory data (PBE-GGA) for LiIrRu2 after structural relaxation.

Output
D(E_F) in states/eV/f.u.: 5.455
Electronic total energy in eV/atom: -7.171
Energy of formation in eV per atom: 0.16

Cell: 5.0910 8.1015 2.6631 Å, 90.00 90.00 90.00°
Space group Cmmm (No. 65)
Asymmetric unit:
1 Li 0.0000 0.0000 0.0000 (multiplicity 2)
2 Ir 0.0000 0.5000 0.0000 (multiplicity 2)
3 Ru 0.2500 0.2500 0.5000 (multiplicity 4)



Entry 2:
Density functional theory data (PBE-GGA) for LiIrRu2 after structural relaxation.

Output
D(E_F) in states/eV/f.u.: 4.382
Electronic total energy in eV/atom: -7.001
Energy of formation in eV per atom: 0.33

Cell: 2.7194 4.5887 9.2036 Å, 90.00 90.00 90.00°
Space group Cmmm (No. 65)
Asymmetric unit:
1 Li 0.0000 0.0000 0.0000 (multiplicity 2)
2 Ir 0.0000 0.0000 0.5000 (multiplicity 2)
3 Ru 0.0000 0.5000 0.2503 (multiplicity 4)



Entry 3:
Density functional theory data (PBE-GGA) for LiIrRu2 after structural relaxation.

Output
D(E_F) in states/eV/f.u.: 5.420
Electronic total energy in eV/atom: -7.068
Energy of formation in eV per atom: 0.26

Cell: 2.7465 4.5683 9.0940 Å, 90.00 90.00 90.00°
Space group Cmm2 (No. 35)
Asymmetric unit:
1 Li 0.0000 0.0000 0.0000 (multiplicity 2)
2 Ir 0.0000 0.5000 0.2443 (multiplicity 2)
3 Ru 0.0000 0.0000 0.5005 (multiplicity 2)
4 Ru 0.0000 0.5000 0.7452 (multiplicity 2)